{
  "formula": "TmThTl2",
  "functional": "PBE",
  "state": "relaxed",
  "lattice": [[4.525, 0.000, 0.000], [0.000, 4.990, 0.000], [0.000, 0.000, 4.990]],
  "species": ["Tl", "Tm", "Th", "Tl"],
  "frac_coords": [[0.000, 0.500, 0.000], [0.500, 0.000, 0.000], [0.500, 0.500, 0.500], [0.000, 0.000, 0.500]],
  "e_tot_ev_per_atom": -4.35,
  "spacegroup": "P4/mmm (123)",
  "total_magnetization_mub_per_cell": 0.0,
  "ef_ev_per_atom": -0.189
}